The following is a DFT calculation (PBE) of an optimized crystal structure of CePm6Sn6.

## Properties
- Calculated formation energy: -0.43 eV per atom

Unit cell a=7.367 b=7.367 c=9.256 alpha=90.00 beta=90.00 gamma=120.00
Positions (direct):
Ce: 0.000 0.000 0.000
Pm: 0.000 0.500 0.746
Pm: 0.500 0.000 0.746
Pm: 0.500 0.500 0.746
Pm: 0.500 0.000 0.254
Pm: 0.000 0.500 0.254
Pm: 0.500 0.500 0.254
Sn: 0.000 0.000 0.660
Sn: 0.000 0.000 0.340
Sn: 0.333 0.667 0.000
Sn: 0.667 0.333 0.000
Sn: 0.333 0.667 0.500
Sn: 0.667 0.333 0.500

=====

The following is a DFT calculation (PBE) of an optimized crystal structure of In3Pd6Pt.

## Properties
- Calculated formation energy: -0.32 eV per atom
- Distance to the lowest polymorph of the same formula: 89 meV per atom

Unit cell a=5.068 b=8.801 c=8.801 alpha=116.59 beta=90.00 gamma=90.00
Positions (direct):
In: 0.441 0.935 0.727
In: 0.941 0.727 0.935
In: 0.112 0.392 0.608
In: 0.612 0.608 0.392
In: 0.941 0.065 0.273
In: 0.441 0.273 0.065
Pd: 0.040 0.704 0.616
Pd: 0.540 0.616 0.704
Pd: 0.358 0.545 0.963
Pd: 0.858 0.963 0.545
Pd: 0.395 0.947 0.053
Pd: 0.652 0.294 0.706
Pd: 0.152 0.706 0.294
Pd: 0.895 0.053 0.947
Pd: 0.358 0.037 0.455
Pd: 0.858 0.455 0.037
Pd: 0.040 0.384 0.296
Pd: 0.540 0.296 0.384
Pt: 0.149 0.214 0.786
Pt: 0.649 0.786 0.214

=====

The following is a DFT calculation (PBE) of an optimized crystal structure of Ti3Hg2Cl9.

## Properties
- Formation energy from raw total energies: -1.227 eV per atom

Unit cell a=12.191 b=10.058 c=10.058 alpha=121.36 beta=96.84 gamma=96.84
Positions (direct):
Ti: 0.339 0.159 0.159
Ti: 0.661 0.841 0.841
Ti: 0.623 0.061 0.286
Ti: 0.377 0.714 0.939
Ti: 0.377 0.939 0.714
Ti: 0.623 0.286 0.061
Hg: 0.047 0.523 0.178
Hg: 0.953 0.822 0.477
Hg: 0.953 0.477 0.822
Hg: 0.047 0.178 0.523
Cl: 0.500 0.191 0.809
Cl: 0.282 0.490 0.893
Cl: 0.282 0.893 0.490
Cl: 0.718 0.510 0.107
Cl: 0.788 0.716 0.716
Cl: 0.212 0.284 0.284
Cl: 0.467 0.378 0.187
Cl: 0.533 0.813 0.622
Cl: 0.533 0.622 0.813
Cl: 0.467 0.187 0.378
Cl: 0.292 0.706 0.706
Cl: 0.741 0.916 0.108
Cl: 0.741 0.108 0.916
Cl: 0.259 0.084 0.892
Cl: 0.259 0.892 0.084
Cl: 0.500 0.809 0.191
Cl: 0.708 0.294 0.294
Cl: 0.718 0.107 0.510

=====

The following is a DFT calculation (PBE) of an optimized crystal structure of Cs8Au4Cl3F.

## Properties
- Formation energy from raw total energies: -1.204 eV per atom

Unit cell a=10.025 b=10.170 c=10.035 alpha=119.57 beta=119.97 gamma=90.00
Positions (direct):
Cs: 0.232 0.724 0.992
Cs: 0.234 0.726 0.468
Cs: 0.254 0.263 0.508
Cs: 0.760 0.724 0.992
Cs: 0.240 0.276 0.008
Cs: 0.746 0.737 0.492
Cs: 0.766 0.274 0.532
Cs: 0.768 0.276 0.008
Au: 0.500 0.000 0.000
Au: 0.500 0.000 0.500
Au: 0.000 0.000 0.000
Au: 0.000 0.000 0.500
Cl: 0.500 0.500 0.000
Cl: 0.500 0.500 0.500
Cl: 0.000 0.500 0.500
F: 0.000 0.500 0.000

=====

The following is a DFT calculation (PBE) of an optimized crystal structure of PbSeBr2.

## Properties
- Formation energy from raw total energies: -0.031 eV per atom
- Distance to the lowest polymorph of the same formula: 433 meV per atom

Unit cell a=4.940 b=4.940 c=4.437 alpha=90.00 beta=90.00 gamma=90.00
Positions (direct):
Br: 0.000 0.000 0.000
Br: 0.500 0.500 0.000
Pb: 0.500 0.000 0.500
Se: 0.000 0.500 0.500

=====

The following is a DFT calculation (PBE) of an optimized crystal structure of Li8HgN2.

## Properties
- Formation energy from raw total energies: -0.294 eV per atom

Unit cell a=4.099 b=6.065 c=6.065 alpha=113.81 beta=93.90 gamma=93.90
Positions (direct):
Li: 0.948 0.960 0.655
Li: 0.948 0.655 0.960
Li: 0.228 0.592 0.592
Li: 0.500 0.717 0.283
Li: 0.500 0.283 0.717
Li: 0.772 0.408 0.408
Li: 0.052 0.345 0.040
Li: 0.052 0.040 0.345
Hg: 0.500 0.000 0.000
N: 0.000 0.321 0.679
N: 0.000 0.679 0.321

=====

The following is a DFT calculation (PBE) of an optimized crystal structure of BiTe2S2.

## Properties
- Formation energy from raw total energies: 0.229 eV per atom

Unit cell a=9.169 b=9.169 c=3.348 alpha=90.00 beta=90.00 gamma=90.00
Positions (direct):
S: 0.101 0.601 0.500
S: 0.601 0.899 0.500
S: 0.899 0.399 0.500
S: 0.399 0.101 0.500
Te: 0.252 0.752 0.000
Te: 0.752 0.748 0.000
Te: 0.748 0.248 0.000
Te: 0.248 0.252 0.000
Bi: 0.000 0.000 0.000
Bi: 0.500 0.500 0.000

=====

The following is a DFT calculation (PBE) of an optimized crystal structure of BaY2SbO.

## Properties
- Formation energy from raw total energies: -0.038 eV per atom

Unit cell a=6.133 b=4.365 c=6.133 alpha=90.00 beta=90.00 gamma=90.00
Positions (direct):
Y: 0.000 0.000 0.500
Y: 0.500 0.000 0.000
Sb: 0.000 0.000 0.000
Ba: 0.500 0.500 0.500
O: 0.000 0.500 0.000

=====

The following is a DFT calculation (PBE) of an optimized crystal structure of Ba2VS5.

## Properties
- Formation energy from raw total energies: -1.311 eV per atom

Unit cell a=6.788 b=7.249 c=6.610 alpha=121.74 beta=120.89 gamma=90.00
Positions (direct):
Ba: 0.257 0.772 0.513
Ba: 0.763 0.274 0.526
V: 0.955 0.925 0.911
S: 0.827 0.250 0.038
S: 0.211 0.250 0.038
S: 0.773 0.806 0.043
S: 0.270 0.806 0.043
S: 0.721 0.694 0.443

=====

The following is a DFT calculation (PBE) of an optimized crystal structure of KCr2Cl.

## Properties
- Formation energy from raw total energies: 0.670 eV per atom
- Distance to the lowest polymorph of the same formula: 665 meV per atom

Unit cell a=10.161 b=10.161 c=10.161 alpha=19.51 beta=19.51 gamma=19.51
Positions (direct):
Cr: 0.019 0.019 0.019
Cr: 0.481 0.481 0.481
K: 0.250 0.250 0.250
Cl: 0.750 0.750 0.750

=====

The following is a DFT calculation (PBE) of an optimized crystal structure of CaLuCdIr.

## Properties
- Calculated formation energy: -0.40 eV per atom

Unit cell a=4.986 b=4.986 c=4.986 alpha=60.00 beta=60.00 gamma=60.00
Positions (direct):
Ca: 0.500 0.500 0.500
Ir: 0.250 0.250 0.250
Lu: 0.000 0.000 0.000
Cd: 0.750 0.750 0.750

=====

The following is a DFT calculation (PBE) of an optimized crystal structure of HoGa3Tc.

## Properties
- Calculated formation energy: -0.34 eV per atom

Unit cell a=5.513 b=6.276 c=6.276 alpha=120.00 beta=90.00 gamma=90.00
Positions (direct):
Ho: 0.250 0.333 0.667
Ho: 0.750 0.667 0.333
Ga: 0.250 0.803 0.197
Ga: 0.750 0.197 0.803
Ga: 0.250 0.803 0.607
Ga: 0.750 0.197 0.393
Ga: 0.250 0.393 0.197
Ga: 0.750 0.607 0.803
Tc: 0.000 0.000 0.000
Tc: 0.500 0.000 0.000